A relaxed structure of CsCoRu2O8. Source: the Alexandria database, functional PBE with a Hubbard U.

## Properties
Symmetry: R-3
Density of states at the Fermi level, states/eV/f.u.: 8.28
E, eV/atom: -6.316

abc: 9.5823 9.5823 9.5823
angles: 32.04 32.04 32.04
Fractional positions:
Cs: 0.0000 0.0000 0.0000
Co: 0.5000 0.5000 0.5000
Ru: 0.2309 0.2309 0.2309
Ru: 0.7691 0.7691 0.7691
O: 0.1272 0.7506 0.4917
O: 0.2494 0.5083 0.8728
O: 0.2956 0.2956 0.2956
O: 0.4917 0.1272 0.7506
O: 0.5083 0.8728 0.2494
O: 0.7044 0.7044 0.7044
O: 0.7506 0.4917 0.1272
O: 0.8728 0.2494 0.5083